Crystalline PmDy5Y at its relaxed geometry, computed with PBE.

Results
Theoretical density   5.8 g cm⁻³
E above lowest polymorph   910 meV per atom
Volume   42.48 A^3/atom
Magnetization   0.0 μB per formula unit
E_form   1.094 eV/atom

CIF file:
```
data_PmDy5Y
_chemical_formula_sum 'Pm2 Dy10 Y2'
_space_group_name_H-M_alt 'I m m m'
_space_group_IT_number 71
_space_group_name_Hall '-I 2 2'
_cell_length_a 5.7885
_cell_length_b 8.6136
_cell_length_c 11.9277
_cell_angle_alpha 90.00
_cell_angle_beta 90.00
_cell_angle_gamma 90.00
loop_
_atom_site_label
_atom_site_type_symbol
_atom_site_fract_x
_atom_site_fract_y
_atom_site_fract_z
Pm1 Pm 0.0000 0.0000 0.0000
Dy1 Dy 0.0000 0.0000 0.2445
Dy2 Dy 0.0000 0.3221 0.0000
Dy3 Dy 0.0000 0.5000 0.5000
Y1 Y 0.0000 0.0000 0.5000
```